(1)
Computed, not measured: a geometry-optimized HgPb2Au structure at the GGA-PBE level of DFT.

a = 5.250 Å, b = 5.250 Å, c = 5.250 Å
α = 60.00°, β = 60.00°, γ = 60.00°
Atoms (fractional coordinates):
Hg1 0.000 0.000 0.000
Pb1 0.250 0.250 0.250
Pb2 0.500 0.500 0.500
Au1 0.750 0.750 0.750

Values from the calculation:
Calculated volume in Å³ per cell: 102.3
Final energy in eV/f.u.: -10.50
Space group: F-43m, No. 216


(2)
Computed, not measured: a geometry-optimized Ho6InNi2 structure at the GGA-PBE level of DFT.

a = 8.373 Å, b = 8.373 Å, c = 8.373 Å
α = 112.72°, β = 109.60°, γ = 106.16°
Atoms (fractional coordinates):
Ho1 0.030 0.234 0.796
Ho2 0.184 0.291 0.475
Ho3 0.184 0.709 0.892
Ho4 0.324 0.017 0.693
Ho5 0.324 0.631 0.307
Ho6 0.438 0.234 0.204
Ho7 0.562 0.766 0.796
Ho8 0.676 0.369 0.693
Ho9 0.676 0.983 0.307
Ho10 0.816 0.291 0.108
Ho11 0.816 0.709 0.525
Ho12 0.970 0.766 0.204
In1 0.000 0.000 0.000
In2 0.500 0.500 0.000
Ni1 0.123 0.623 0.500
Ni2 0.353 0.000 0.353
Ni3 0.647 0.000 0.647
Ni4 0.877 0.377 0.500

Values from the calculation:
Calculated volume in Å³ per cell: 450.4
Final energy in eV/f.u.: -44.56
Space group: Immm, No. 71


(3)
Computed, not measured: a geometry-optimized Nb2In3W4N3 structure at the GGA-PBE level of DFT.

a = 5.521 Å, b = 5.521 Å, c = 14.147 Å
α = 101.21°, β = 101.21°, γ = 60.00°
Atoms (fractional coordinates):
Nb1 0.027 0.854 0.586
Nb2 0.146 0.973 0.914
Nb3 0.854 0.027 0.086
Nb4 0.973 0.146 0.414
In1 0.082 0.267 0.749
In2 0.267 0.082 0.249
In3 0.433 0.567 0.750
In4 0.567 0.433 0.250
In5 0.733 0.918 0.751
In6 0.918 0.733 0.251
W1 0.191 0.369 0.077
W2 0.316 0.465 0.423
W3 0.369 0.191 0.577
W4 0.465 0.316 0.923
W5 0.535 0.684 0.077
W6 0.631 0.809 0.423
W7 0.684 0.535 0.577
W8 0.809 0.631 0.923
N1 0.000 0.500 0.500
N2 0.162 0.678 0.000
N3 0.322 0.838 0.500
N4 0.500 0.000 0.000
N5 0.678 0.162 0.500
N6 0.838 0.322 0.000

Values from the calculation:
Calculated volume in Å³ per cell: 363.9
Final energy in eV/f.u.: -104.71
Space group: C2/c, No. 15


(4)
Computed, not measured: a geometry-optimized HfTePd2 structure at the GGA-PBE level of DFT.

a = 4.713 Å, b = 4.713 Å, c = 4.713 Å
α = 60.00°, β = 60.00°, γ = 60.00°
Atoms (fractional coordinates):
Hf1 0.000 0.000 0.000
Te1 0.750 0.750 0.750
Pd1 0.250 0.250 0.250
Pd2 0.500 0.500 0.500

Values from the calculation:
Calculated volume in Å³ per cell: 74.0
Final energy in eV/f.u.: -25.13
Space group: F-43m, No. 216


(5)
Computed, not measured: a geometry-optimized PrGdCu2Si2 structure at the GGA-PBE level of DFT.

a = 4.196 Å, b = 4.196 Å, c = 7.873 Å
α = 90.00°, β = 90.00°, γ = 120.00°
Atoms (fractional coordinates):
Pr1 0.000 0.000 0.000
Gd1 0.000 0.000 0.500
Cu1 0.333 0.667 0.259
Cu2 0.667 0.333 0.741
Si1 0.333 0.667 0.739
Si2 0.667 0.333 0.261

Values from the calculation:
Calculated volume in Å³ per cell: 120.0
Final energy in eV/f.u.: -31.53
Space group: P-3m1, No. 164


(6)
Computed, not measured: a geometry-optimized MgZnNO structure at the GGA-PBE level of DFT.

a = 5.691 Å, b = 6.591 Å, c = 5.085 Å
α = 90.00°, β = 90.00°, γ = 90.00°
Atoms (fractional coordinates):
Mg1 0.086 0.124 0.000
Mg2 0.414 0.124 0.500
Mg3 0.586 0.876 0.000
Mg4 0.914 0.876 0.500
Zn1 0.080 0.622 0.005
Zn2 0.420 0.622 0.505
Zn3 0.580 0.378 0.005
Zn4 0.920 0.378 0.505
N1 0.092 0.619 0.618
N2 0.408 0.619 0.118
N3 0.592 0.381 0.618
N4 0.908 0.381 0.118
O1 0.084 0.120 0.612
O2 0.416 0.120 0.112
O3 0.584 0.880 0.612
O4 0.916 0.880 0.112

Values from the calculation:
Calculated volume in Å³ per cell: 190.7
Final energy in eV/f.u.: -19.68
Space group: Pca2_1, No. 29


(7)
Computed, not measured: a geometry-optimized HfZrCdC structure at the GGA-PBE level of DFT.

a = 3.314 Å, b = 3.314 Å, c = 15.258 Å
α = 90.00°, β = 90.00°, γ = 120.00°
Atoms (fractional coordinates):
Hf1 0.333 0.667 0.000
Hf2 0.667 0.333 0.500
Zr1 0.333 0.667 0.663
Zr2 0.667 0.333 0.163
Cd1 0.333 0.667 0.332
Cd2 0.667 0.333 0.832
C1 0.000 0.000 0.079
C2 0.000 0.000 0.579

Values from the calculation:
Calculated volume in Å³ per cell: 145.1
Final energy in eV/f.u.: -30.83
Space group: P6_3mc, No. 186


(8)
Computed, not measured: a geometry-optimized DyInCl6 structure at the GGA-PBE level of DFT.

a = 6.685 Å, b = 6.685 Å, c = 6.479 Å
α = 99.98°, β = 99.98°, γ = 120.16°
Atoms (fractional coordinates):
Dy1 0.000 0.000 0.000
In1 0.669 0.331 0.000
Cl1 0.054 0.396 0.244
Cl2 0.267 0.235 0.759
Cl3 0.426 0.105 0.238
Cl4 0.604 0.946 0.756
Cl5 0.765 0.733 0.241
Cl6 0.895 0.574 0.762

Values from the calculation:
Calculated volume in Å³ per cell: 234.7
Final energy in eV/f.u.: -31.81
Space group: C2, No. 5


(9)
Computed, not measured: a geometry-optimized Ba2In4PdAu structure at the GGA-PBE level of DFT.

a = 8.110 Å, b = 6.423 Å, c = 6.423 Å
α = 42.47°, β = 90.00°, γ = 90.00°
Atoms (fractional coordinates):
Ba1 0.000 0.000 0.000
Ba2 0.500 0.109 0.109
In1 0.199 0.715 0.715
In2 0.311 0.396 0.396
In3 0.689 0.396 0.396
In4 0.801 0.715 0.715
Pd1 0.500 0.834 0.834
Au1 0.000 0.280 0.280

Values from the calculation:
Calculated volume in Å³ per cell: 225.9
Final energy in eV/f.u.: -27.57
Space group: Amm2, No. 38


(10)
Computed, not measured: a geometry-optimized CsSrAg structure at the GGA-PBE level of DFT.

a = 5.891 Å, b = 5.891 Å, c = 5.891 Å
α = 60.00°, β = 60.00°, γ = 60.00°
Atoms (fractional coordinates):
Cs1 0.000 0.000 0.000
Sr1 0.500 0.500 0.500
Ag1 0.250 0.250 0.250

Values from the calculation:
Calculated volume in Å³ per cell: 144.6
Final energy in eV/f.u.: -5.06
Space group: F-43m, No. 216


(11)
Computed, not measured: a geometry-optimized KAgSnSe3 structure at the GGA-PBE level of DFT.

a = 13.900 Å, b = 4.271 Å, c = 11.163 Å
α = 90.00°, β = 90.00°, γ = 90.00°
Atoms (fractional coordinates):
K1 0.151 0.250 0.008
K2 0.349 0.750 0.508
K3 0.651 0.250 0.492
K4 0.849 0.750 0.992
Ag1 0.220 0.750 0.240
Ag2 0.280 0.250 0.740
Ag3 0.720 0.750 0.260
Ag4 0.780 0.250 0.760
Sn1 0.029 0.750 0.651
Sn2 0.471 0.250 0.151
Sn3 0.529 0.750 0.849
Sn4 0.971 0.250 0.349
Se1 0.038 0.750 0.206
Se2 0.114 0.250 0.511
Se3 0.185 0.750 0.785
Se4 0.315 0.250 0.285
Se5 0.386 0.750 0.011
Se6 0.462 0.250 0.706
Se7 0.538 0.750 0.294
Se8 0.614 0.250 0.989
Se9 0.685 0.750 0.715
Se10 0.815 0.250 0.215
Se11 0.886 0.750 0.489
Se12 0.962 0.250 0.794

Values from the calculation:
Calculated volume in Å³ per cell: 662.7
Final energy in eV/f.u.: -21.58
Space group: Pnma, No. 62


(12)
Computed, not measured: a geometry-optimized BePtSO structure at the GGA-PBE level of DFT.

a = 3.323 Å, b = 3.323 Å, c = 9.275 Å
α = 90.00°, β = 90.00°, γ = 90.00°
Atoms (fractional coordinates):
Be1 0.250 0.250 0.002
Be2 0.750 0.750 0.998
Pt1 0.250 0.250 0.605
Pt2 0.750 0.750 0.395
S1 0.250 0.250 0.312
S2 0.750 0.750 0.688
O1 0.250 0.750 0.000
O2 0.750 0.250 0.000

Values from the calculation:
Calculated volume in Å³ per cell: 102.4
Final energy in eV/f.u.: -22.84
Space group: P4/nmm, No. 129


(13)
Computed, not measured: a geometry-optimized KMgZrS3 structure at the GGA-PBE level of DFT.

a = 14.648 Å, b = 3.862 Å, c = 10.376 Å
α = 90.00°, β = 90.00°, γ = 90.00°
Atoms (fractional coordinates):
K1 0.238 0.250 0.036
K2 0.262 0.750 0.536
K3 0.738 0.250 0.464
K4 0.762 0.750 0.964
Mg1 0.017 0.750 0.107
Mg2 0.483 0.250 0.607
Mg3 0.517 0.750 0.393
Mg4 0.983 0.250 0.893
Zr1 0.018 0.250 0.369
Zr2 0.482 0.750 0.869
Zr3 0.518 0.250 0.131
Zr4 0.982 0.750 0.631
S1 0.081 0.750 0.884
S2 0.097 0.250 0.587
S3 0.128 0.750 0.274
S4 0.372 0.250 0.774
S5 0.403 0.750 0.087
S6 0.419 0.250 0.384
S7 0.581 0.750 0.616
S8 0.597 0.250 0.913
S9 0.628 0.750 0.226
S10 0.872 0.250 0.726
S11 0.903 0.750 0.413
S12 0.919 0.250 0.116

Values from the calculation:
Calculated volume in Å³ per cell: 586.9
Final energy in eV/f.u.: -31.97
Space group: Pnma, No. 62


(14)
Computed, not measured: a geometry-optimized Nd3Ho2ErNiTe2 structure at the GGA-PBE level of DFT.

a = 4.017 Å, b = 8.476 Å, c = 8.476 Å
α = 119.93°, β = 90.00°, γ = 90.00°
Atoms (fractional coordinates):
Nd1 0.000 0.000 0.000
Nd2 0.000 0.190 0.595
Nd3 0.000 0.595 0.190
Ho1 0.500 0.595 0.829
Ho2 0.500 0.829 0.595
Er1 0.500 0.361 0.361
Ni1 0.000 0.594 0.594
Te1 0.500 0.261 0.928
Te2 0.500 0.928 0.261

Values from the calculation:
Calculated volume in Å³ per cell: 250.1
Final energy in eV/f.u.: -46.59
Space group: Amm2, No. 38


(15)
Computed, not measured: a geometry-optimized NdAlNiPd structure at the GGA-PBE level of DFT.

a = 4.317 Å, b = 4.317 Å, c = 9.565 Å
α = 90.00°, β = 90.00°, γ = 120.00°
Atoms (fractional coordinates):
Nd1 0.000 0.000 0.000
Nd2 0.333 0.667 0.500
Al1 0.667 0.333 0.240
Al2 0.667 0.333 0.760
Ni1 0.333 0.667 0.189
Ni2 0.333 0.667 0.811
Pd1 0.000 0.000 0.315
Pd2 0.000 0.000 0.685

Values from the calculation:
Calculated volume in Å³ per cell: 154.4
Final energy in eV/f.u.: -21.99
Space group: P-6m2, No. 187


(16)
Computed, not measured: a geometry-optimized YInCoSe3 structure at the GGA-PBE level of DFT.

a = 7.486 Å, b = 7.486 Å, c = 10.647 Å
α = 90.00°, β = 90.00°, γ = 149.29°
Atoms (fractional coordinates):
Y1 0.000 0.000 0.000
Y2 0.000 0.000 0.500
In1 0.245 0.755 0.750
In2 0.755 0.245 0.250
Co1 0.477 0.523 0.250
Co2 0.523 0.477 0.750
Se1 0.076 0.924 0.250
Se2 0.369 0.631 0.077
Se3 0.369 0.631 0.423
Se4 0.631 0.369 0.577
Se5 0.631 0.369 0.923
Se6 0.924 0.076 0.750

Values from the calculation:
Calculated volume in Å³ per cell: 304.7
Final energy in eV/f.u.: -31.85
Space group: Cmcm, No. 63


(17)
Computed, not measured: a geometry-optimized NdMg structure at the GGA-PBE level of DFT.

a = 6.302 Å, b = 5.474 Å, c = 6.844 Å
α = 90.00°, β = 90.00°, γ = 90.00°
Atoms (fractional coordinates):
Nd1 0.124 0.250 0.135
Nd2 0.376 0.750 0.635
Nd3 0.624 0.250 0.365
Nd4 0.876 0.750 0.865
Mg1 0.080 0.250 0.626
Mg2 0.420 0.750 0.126
Mg3 0.580 0.250 0.874
Mg4 0.920 0.750 0.374

Values from the calculation:
Calculated volume in Å³ per cell: 236.1
Final energy in eV/f.u.: -6.38
Space group: Pnma, No. 62


(18)
Computed, not measured: a geometry-optimized BaHfGa structure at the GGA-PBE level of DFT.

a = 5.193 Å, b = 5.193 Å, c = 5.193 Å
α = 60.00°, β = 60.00°, γ = 60.00°
Atoms (fractional coordinates):
Ba1 0.000 0.000 0.000
Hf1 0.250 0.250 0.250
Ga1 0.750 0.750 0.750

Values from the calculation:
Calculated volume in Å³ per cell: 99.0
Final energy in eV/f.u.: -11.30
Space group: F-43m, No. 216


(19)
Computed, not measured: a geometry-optimized Lu4ZnSiN2 structure at the GGA-PBE level of DFT.

a = 3.388 Å, b = 3.388 Å, c = 14.191 Å
α = 90.00°, β = 90.00°, γ = 120.00°
Atoms (fractional coordinates):
Lu1 0.000 0.000 0.153
Lu2 0.000 0.000 0.847
Lu3 0.667 0.333 0.340
Lu4 0.667 0.333 0.660
Zn1 0.000 0.000 0.500
Si1 0.667 0.333 0.000
N1 0.333 0.667 0.244
N2 0.333 0.667 0.756

Values from the calculation:
Calculated volume in Å³ per cell: 141.1
Final energy in eV/f.u.: -49.73
Space group: P-6m2, No. 187


(20)
Computed, not measured: a geometry-optimized PmZr structure at the GGA-PBE level of DFT.

a = 5.484 Å, b = 6.824 Å, c = 12.018 Å
α = 90.00°, β = 90.00°, γ = 90.00°
Atoms (fractional coordinates):
Pm1 0.250 0.003 0.088
Pm2 0.250 0.250 0.342
Pm3 0.250 0.250 0.810
Pm4 0.250 0.497 0.088
Pm5 0.750 0.503 0.912
Pm6 0.750 0.750 0.190
Pm7 0.750 0.750 0.658
Pm8 0.750 0.997 0.912
Zr1 0.250 0.004 0.578
Zr2 0.250 0.496 0.578
Zr3 0.250 0.750 0.361
Zr4 0.250 0.750 0.818
Zr5 0.750 0.250 0.182
Zr6 0.750 0.250 0.639
Zr7 0.750 0.504 0.422
Zr8 0.750 0.996 0.422

Values from the calculation:
Calculated volume in Å³ per cell: 449.7
Final energy in eV/f.u.: -13.03
Space group: Pmmn, No. 59